[1]
## PuMgMn2 (PBE)

Data for PuMgMn2 after structural relaxation.

The space group is P4/mmm (No. 123) and the conventional cell measures 4.717, 4.717 and 3.094 Å, with angles of 90.00, 90.00 and 90.00 degrees. The asymmetric unit holds Pu at (0.000, 0.000, 0.000), Mg at (0.500, 0.500, 0.000) and Mn at (0.000, 0.500, 0.500).

As for the formation energy: 10.9 kJ per mole of atoms. For the total energy, the calculation gives -33.81 eV for the cell shown. Its crystal system is tetragonal.

***

[2]
## Pu2MgMn (PBE)

Data for Pu2MgMn after structural relaxation.

The space group is P4/mmm (No. 123) and the conventional cell measures 4.354, 4.354 and 4.548 Å, with angles of 90.00, 90.00 and 90.00 degrees. The asymmetric unit holds Pu at (0.000, 0.500, 0.000), Mg at (0.000, 0.000, 0.500) and Mn at (0.500, 0.500, 0.500).

Its energy relative to the lowest polymorph listed for this composition is 115 meV per atom. As for the formation energy: 18.4 kJ per mole of atoms. For the total energy, the calculation gives -38.67 eV for the cell shown. Its crystal system is tetragonal.

***

[3]
## PuMgMnRh (PBE)

Data for PuMgMnRh after structural relaxation.

The space group is F-43m (No. 216) and the conventional cell measures 6.552, 6.552 and 6.552 Å, with angles of 90.00, 90.00 and 90.00 degrees. The asymmetric unit holds Pu at (0.000, 0.000, 0.000), Mg at (0.000, 0.000, 0.500), Mn at (0.250, 0.250, 0.250) and Rh at (0.250, 0.250, 0.750).

As for the formation energy: -18.8 kJ per mole of atoms. For the total energy, the calculation gives -132.91 eV for the cell shown. Its crystal system is cubic.

***

[4]
## PuMgMnRu (PBE)

Data for PuMgMnRu after structural relaxation.

The space group is F-43m (No. 216) and the conventional cell measures 6.484, 6.484 and 6.484 Å, with angles of 90.00, 90.00 and 90.00 degrees. The asymmetric unit holds Pu at (0.000, 0.000, 0.000), Mg at (0.000, 0.000, 0.500), Mn at (0.250, 0.250, 0.750) and Ru at (0.250, 0.250, 0.250).

As for the formation energy: -4.6 kJ per mole of atoms. For the total energy, the calculation gives -138.26 eV for the cell shown. Its crystal system is cubic.

***

[5]
## PuMgMnTc (PBE)

Data for PuMgMnTc after structural relaxation.

The space group is F-43m (No. 216) and the conventional cell measures 6.462, 6.462 and 6.462 Å, with angles of 90.00, 90.00 and 90.00 degrees. The asymmetric unit holds Pu at (0.000, 0.000, 0.000), Mg at (0.000, 0.000, 0.500), Mn at (0.250, 0.250, 0.250) and Tc at (0.250, 0.250, 0.750).

As for the formation energy: 11.7 kJ per mole of atoms. For the total energy, the calculation gives -139.90 eV for the cell shown. Its crystal system is cubic.

***

[6]
## PuMgMnTl (PBE)

Data for PuMgMnTl after structural relaxation.

The space group is F-43m (No. 216) and the conventional cell measures 7.136, 7.136 and 7.136 Å, with angles of 90.00, 90.00 and 90.00 degrees. The asymmetric unit holds Pu at (0.000, 0.000, 0.000), Mg at (0.000, 0.000, 0.500), Mn at (0.250, 0.250, 0.750) and Tl at (0.250, 0.250, 0.250).

As for the formation energy: 19.5 kJ per mole of atoms. For the total energy, the calculation gives -106.61 eV for the cell shown. Its crystal system is cubic.

***

[7]
## RbMgMn2 (PBE)

Data for RbMgMn2 after structural relaxation.

The space group is I4_1/amd (No. 141, origin choice 2) and the conventional cell measures 5.346, 5.346 and 19.805 Å, with angles of 90.00, 90.00 and 90.00 degrees. The asymmetric unit holds Rb at (0.000, 0.250, 0.375), Mg at (0.000, 0.250, 0.875) and Mn at (0.000, 0.000, 0.000).

As for the formation energy: 99.7 kJ per mole of atoms. For the total energy, the calculation gives -67.07 eV for the cell shown. Its crystal system is tetragonal.

***

[8]
## Rb2Mg2Mn (PBE)

Data for Rb2Mg2Mn after structural relaxation.

The space group is I4/mmm (No. 139) and the conventional cell measures 4.257, 4.257 and 23.961 Å, with angles of 90.00, 90.00 and 90.00 degrees. The asymmetric unit holds Rb at (0.000, 0.000, 0.105), Mg at (0.000, 0.500, 0.250) and Mn at (0.000, 0.000, 0.500).

Its energy relative to the lowest polymorph listed for this composition is 0 meV per atom. As for the formation energy: 65.1 kJ per mole of atoms. For the total energy, the calculation gives -21.84 eV for the cell shown. Its crystal system is tetragonal.